1.
The following is a GGA-PBE calculation of a relaxed Mg2MnPd6 crystal, from Alexandria via LeMat-Bulk.

Output
Symmetry: No. 136
E (eV per atom): -5.308
Relative energy among the computed polymorphs (eV per atom): 0.000
Total magnetization (μB/f.u.): 4.19

POSCAR file:
```
Mg2MnPd6
1.0
8.199 0.000 0.000
0.000 8.199 0.000
0.000 0.000 4.146
Mg Mn Pd
4 2 12
Cartesian
1.581 1.581 0.000
2.519 5.681 2.073
5.681 2.519 2.073
6.619 6.619 0.000
0.000 0.000 2.073
4.100 4.100 0.000
0.166 2.692 2.073
1.131 7.069 0.000
1.408 4.266 0.000
2.692 0.166 2.073
2.969 2.969 2.073
3.934 6.791 0.000
4.266 1.408 0.000
5.230 5.230 2.073
5.508 8.033 2.073
6.791 3.934 0.000
7.069 1.131 0.000
8.033 5.508 2.073
```

2.
The following is a GGA-PBE calculation of a relaxed MgMnPd2 crystal, from Alexandria via LeMat-Bulk.

Output
Symmetry: No. 71
E (eV per atom): -5.089
Total magnetization (μB/f.u.): 4.08

POSCAR file:
```
MgMnPd2
1.0
-1.400 2.411 5.108
1.400 -2.411 5.108
1.400 2.411 -5.108
Mg Mn Pd
1 1 2
Cartesian
0.000 0.000 0.000
0.000 0.000 5.108
0.000 0.000 2.625
0.000 0.000 7.591
```

3.
The following is a GGA-PBE calculation of a relaxed MgMnPd6 crystal, from Alexandria via LeMat-Bulk.

Output
Symmetry: No. 123
E (eV per atom): -5.585
Relative energy among the computed polymorphs (eV per atom): 0.000
Total magnetization (μB/f.u.): 4.04

POSCAR file:
```
MgMnPd6
1.0
3.943 0.000 0.000
0.000 3.943 0.000
0.000 0.000 7.897
Mg Mn Pd
1 1 6
Cartesian
0.000 0.000 0.000
0.000 0.000 3.949
0.000 1.972 2.010
0.000 1.972 5.888
1.972 0.000 2.010
1.972 0.000 5.888
1.972 1.972 0.000
1.972 1.972 3.949
```

4.
The following is a GGA-PBE calculation of a relaxed MgMnPd14 crystal, from Alexandria via LeMat-Bulk.

Output
Symmetry: No. 123
E (eV per atom): -5.390
Total magnetization (μB/f.u.): 5.76

POSCAR file:
```
MgMnPd14
1.0
5.579 0.000 0.000
0.000 5.579 0.000
0.000 0.000 7.897
Mg Mn Pd
1 1 14
Cartesian
0.000 0.000 0.000
2.790 2.790 0.000
0.000 0.000 3.949
0.000 2.790 0.000
0.000 2.790 3.949
1.402 1.402 1.948
1.402 1.402 5.949
1.402 4.178 1.948
1.402 4.178 5.949
2.790 0.000 0.000
2.790 0.000 3.949
2.790 2.790 3.949
4.178 1.402 1.948
4.178 1.402 5.949
4.178 4.178 1.948
4.178 4.178 5.949
```

5.
The following is a GGA-PBE calculation of a relaxed MgMn2Pd crystal, from Alexandria via LeMat-Bulk.

Output
Symmetry: No. 122
E (eV per atom): -5.954
Total magnetization (μB/f.u.): 8.00

POSCAR file:
```
MgMn2Pd
1.0
-3.658 3.658 2.656
3.658 -3.658 2.656
3.658 3.658 -2.656
Mg Mn Pd
2 4 2
Cartesian
0.000 0.000 0.000
0.000 3.658 1.328
1.829 -1.610 1.992
2.048 1.829 0.664
1.829 5.268 -0.664
1.610 1.829 3.320
3.658 0.000 1.328
0.000 0.000 2.656
```

6.
The following is a GGA-PBE calculation of a relaxed Mg2MnPd6 crystal, from Alexandria via LeMat-Bulk.

Output
Symmetry: No. 12
E (eV per atom): -5.152
Relative energy among the computed polymorphs (eV per atom): 0.157
Total magnetization (μB/f.u.): 4.56

POSCAR file:
```
Mg2MnPd6
1.0
7.085 -3.697 0.000
7.085 3.697 0.000
-0.563 0.000 2.797
Mg Mn Pd
2 1 6
Cartesian
2.273 0.000 0.442
11.334 0.000 2.356
6.804 0.000 1.399
4.544 1.423 0.944
7.085 2.234 0.000
9.063 1.423 1.853
4.544 -1.423 0.944
7.085 -2.234 0.000
9.063 -1.423 1.853
```

7.
The following is a GGA-PBE calculation of a relaxed MgMn2Pd3 crystal, from Alexandria via LeMat-Bulk.

Output
Symmetry: No. 65
E (eV per atom): -6.293
Total magnetization (μB/f.u.): 8.86

POSCAR file:
```
MgMn2Pd3
1.0
2.128 -6.369 0.000
2.128 6.369 0.000
0.000 0.000 3.410
Mg Mn Pd
1 2 3
Cartesian
0.000 0.000 0.000
2.128 2.132 0.000
2.128 -2.132 0.000
2.128 4.215 1.705
2.128 0.000 1.705
2.128 -4.215 1.705
```

8.
The following is a GGA-PBE calculation of a relaxed Mg2MnPd2 crystal, from Alexandria via LeMat-Bulk.

Output
Symmetry: No. 127
E (eV per atom): -4.820
Relative energy among the computed polymorphs (eV per atom): 0.085
Total magnetization (μB/f.u.): 4.34

POSCAR file:
```
Mg2MnPd2
1.0
7.542 0.000 0.000
0.000 7.542 0.000
0.000 0.000 2.960
Mg Mn Pd
4 2 4
Cartesian
1.008 2.763 0.000
2.763 6.534 0.000
4.778 1.008 0.000
6.534 4.778 0.000
0.000 0.000 0.000
3.771 3.771 0.000
1.249 5.020 1.480
2.521 1.249 1.480
5.020 6.292 1.480
6.292 2.521 1.480
```

Q: Which formula does entry 1 have?
A: Mg2MnPd6

Q: Which of these has the lowest total magnetization?
A: MgMnPd6

Q: The highest E belongs to which entry?
A: Mg2MnPd2